Entry 1:
An optimized crystal structure of La2Pr6Y3Er, computed with PBE.

Values from the calculation:
Calculated total energy in eV per atom: -5.1933
Space group: No. 12
Total moment in μB/cell: 0.0
V in Å³ per atom: 34.821
Calculated formation energy in meV/atom: 14

POSCAR file:
```
La2Pr6Y3Er
1.0
-1.7706 1.9090 5.8114
-2.7839 -5.0632 -2.6769
9.7631 -6.0378 3.7939
La Y Er Pr
2 3 1 6
Direct
0.6670 0.3330 0.0000
0.3330 0.6670 0.0000
0.8337 0.1663 0.5000
0.1663 0.8337 0.5000
0.5000 0.5000 0.5000
0.0000 0.0000 0.0000
0.4158 0.0842 0.2530
0.7521 0.7521 0.2532
0.5842 0.9158 0.7470
0.9158 0.5842 0.7470
0.0842 0.4158 0.2530
0.2479 0.2479 0.7468
```

=====

Entry 2:
An optimized crystal structure of LaPr2Y5Er, computed with PBE.

Values from the calculation:
Calculated total energy in eV per atom: -5.4612
Space group: No. 140
Total moment in μB/cell: 0.0
V in Å³ per atom: 33.803
Calculated formation energy in meV/atom: 247

POSCAR file:
```
LaPr2Y5Er
1.0
-6.9670 4.5211 2.9031
1.9861 -2.2501 8.2704
6.9508 5.3011 -4.9067
Y Pr La Er
10 4 2 2
Direct
0.5722 0.6531 0.7253
0.5000 0.5000 0.0000
0.0000 0.0000 0.0000
0.4278 0.3469 0.2747
0.1531 0.0722 0.7253
0.6531 0.1531 0.7253
0.0722 0.5722 0.7253
0.8469 0.9278 0.2747
0.9278 0.4278 0.2747
0.3469 0.8469 0.2747
0.6174 0.1174 0.0000
0.3826 0.8826 0.0000
0.1174 0.3826 0.0000
0.8826 0.6174 0.0000
0.2500 0.2500 0.5000
0.7500 0.7500 0.5000
0.7500 0.2500 0.5000
0.2500 0.7500 0.5000
```

=====

Entry 3:
An optimized crystal structure of La5Pr2YEr, computed with PBE.

Values from the calculation:
Calculated total energy in eV per atom: -4.7671
Space group: No. 140
Total moment in μB/cell: 0.0
V in Å³ per atom: 36.314
Calculated formation energy in meV/atom: 258

POSCAR file:
```
La5Pr2YEr
1.0
-4.9495 -2.1697 6.7909
3.9624 -7.7097 0.4248
6.4196 8.2822 1.7793
La Y Pr Er
10 2 4 2
Direct
0.4227 0.3658 0.2885
0.8658 0.9227 0.2885
0.0000 0.0000 0.0000
0.5773 0.6342 0.7115
0.6342 0.1342 0.7115
0.5000 0.5000 0.0000
0.1342 0.0773 0.7115
0.0773 0.5773 0.7115
0.3658 0.8658 0.2885
0.9227 0.4227 0.2885
0.2500 0.7500 0.5000
0.7500 0.2500 0.5000
0.6241 0.1241 0.0000
0.8759 0.6241 0.0000
0.3759 0.8759 0.0000
0.1241 0.3759 0.0000
0.7500 0.7500 0.5000
0.2500 0.2500 0.5000
```

=====

Entry 4:
An optimized crystal structure of LaPr2Y4Er2, computed with PBE.

Values from the calculation:
Calculated total energy in eV per atom: -5.4216
Space group: No. 2
Total moment in μB/cell: 0.0
V in Å³ per atom: 33.692
Calculated formation energy in meV/atom: 75

POSCAR file:
```
LaPr2Y4Er2
1.0
6.2449 2.5747 0.9358
1.3348 9.7494 2.4606
-3.2676 -4.1530 4.0993
Pr La Y Er
2 1 4 2
Direct
0.7372 0.3488 0.4066
0.2628 0.6512 0.5934
0.0000 0.0000 0.0000
0.3922 0.2401 0.4946
0.7370 0.8786 0.1951
0.2630 0.1214 0.8049
0.6078 0.7599 0.5054
0.1846 0.5481 0.9637
0.8154 0.4519 0.0363
```

=====

Q: The lowest calculated formation energy belongs to which entry?
A: La2Pr6Y3Er